Entry from Alexandria: a PBEsol-optimized structure of LaAs (meta-GGA SCAN).

Properties
Final energy in eV per atom: -33.427

abc: 4.319 4.319 4.319
angles: 60.00 60.00 60.00
Element x y z (fractional)
As: 0.500 0.500 0.500
La: 0.000 0.000 0.000